GGA-PBE Cu2Ag, relaxed; formation energy from the elements = 0.079 eV/atom; energy = -30.1 eV/cell; space group = No. 44; volume = 13.92 Å³ per atom
1.0
-1.366 1.835 12.490
1.366 -1.835 12.490
1.366 1.835 -12.490
Cu Ag
6 3
Direct
0.000 0.000 0.000
0.099 0.099 0.000
0.334 0.334 0.000
0.450 0.450 0.000
0.550 0.550 0.000
0.785 0.785 0.000
0.226 0.226 0.000
0.658 0.658 0.000
0.892 0.892 0.000